Record 1
DyEr3Cd6 | PBE-GGA | optimized geometry

Output
Energy of formation from the pure elements (meV per atom): -282
Symmetry: No. 11
Magnetization (μB per formula unit): 0.0

Unit cell a=5.132 b=9.127 c=10.980 alpha=105.55 beta=90.00 gamma=90.00
Atoms (fractional coordinates):
Cd 0.250 0.656 0.707
Cd 0.250 0.450 0.096
Cd 0.750 0.948 0.099
Cd 0.250 0.847 0.306
Cd 0.250 0.144 0.196
Cd 0.750 0.550 0.904
Cd 0.750 0.344 0.293
Cd 0.250 0.052 0.901
Cd 0.750 0.856 0.804
Cd 0.250 0.243 0.500
Cd 0.750 0.153 0.694
Cd 0.750 0.757 0.500
Er 0.250 0.531 0.394
Er 0.250 0.351 0.795
Er 0.750 0.469 0.606
Er 0.750 0.649 0.205
Er 0.750 0.241 0.998
Er 0.250 0.759 0.002
Dy 0.750 0.056 0.392
Dy 0.250 0.944 0.608


Record 2
Dy5Er12Cd2 | PBE-GGA | optimized geometry

Output
Energy of formation from the pure elements (meV per atom): 49
Symmetry: No. 12
Magnetization (μB per formula unit): 0.0

Unit cell a=9.161 b=12.059 c=8.113 alpha=131.56 beta=90.00 gamma=112.32
Atoms (fractional coordinates):
Er 0.032 0.695 0.937
Er 0.912 0.823 0.715
Er 0.571 0.750 0.413
Er 0.429 0.250 0.587
Er 0.821 0.250 0.587
Er 0.662 0.695 0.937
Er 0.179 0.750 0.413
Er 0.338 0.305 0.063
Er 0.447 0.893 0.213
Er 0.088 0.177 0.285
Er 0.968 0.305 0.063
Er 0.553 0.107 0.787
Dy 0.000 0.000 0.500
Dy 0.695 0.390 0.386
Dy 0.763 0.526 0.108
Dy 0.237 0.474 0.892
Dy 0.305 0.610 0.614
Cd 0.315 0.000 0.000
Cd 0.685 0.000 0.000


Record 3
Dy4Er9Cd11 | PBE-GGA | optimized geometry

Output
Energy of formation from the pure elements (meV per atom): -227
Symmetry: No. 65
Magnetization (μB per formula unit): 1.0

Unit cell a=13.807 b=13.807 c=3.492 alpha=90.00 beta=90.00 gamma=109.32
Atoms (fractional coordinates):
Cd 0.412 0.049 0.000
Cd 0.819 0.181 0.000
Cd 0.630 0.370 0.000
Cd 0.951 0.588 0.000
Cd 0.370 0.630 0.000
Cd 0.588 0.951 0.000
Cd 0.049 0.412 0.000
Cd 0.181 0.819 0.000
Cd 0.789 0.789 0.000
Cd 0.211 0.211 0.000
Cd 0.000 0.000 0.000
Er 0.618 0.155 0.500
Er 0.794 0.982 0.500
Er 0.018 0.206 0.500
Er 0.845 0.382 0.500
Er 0.155 0.618 0.500
Er 0.382 0.845 0.500
Er 0.982 0.794 0.500
Er 0.206 0.018 0.500
Er 0.500 0.500 0.500
Dy 0.250 0.417 0.500
Dy 0.750 0.583 0.500
Dy 0.417 0.250 0.500
Dy 0.583 0.750 0.500


Record 4
DyEr3Cd | PBE-GGA | optimized geometry

Output
Energy of formation from the pure elements (meV per atom): -107
Symmetry: No. 12
Magnetization (μB per formula unit): 0.3
Offset from the most stable computed form (eV per atom): 0.000

Unit cell a=3.609 b=6.662 c=12.551 alpha=86.09 beta=90.01 gamma=74.28
Atoms (fractional coordinates):
Er 0.854 0.292 0.555
Er 0.146 0.708 0.445
Er 0.966 0.069 0.811
Er 0.366 0.269 0.020
Er 0.634 0.731 0.980
Er 0.034 0.931 0.189
Cd 0.441 0.118 0.374
Cd 0.559 0.882 0.626
Dy 0.233 0.534 0.755
Dy 0.767 0.466 0.245


Record 5
DyErCd5 | PBE-GGA | optimized geometry

Output
Energy of formation from the pure elements (meV per atom): -83
Symmetry: No. 123
Magnetization (μB per formula unit): 0.0

Unit cell a=5.112 b=5.112 c=6.919 alpha=90.00 beta=90.00 gamma=90.00
Atoms (fractional coordinates):
Cd 0.500 0.000 0.767
Cd 0.500 0.000 0.233
Cd 0.500 0.500 0.500
Cd 0.000 0.500 0.767
Cd 0.000 0.500 0.233
Dy 0.000 0.000 0.500
Er 0.500 0.500 0.000


Record 6
Dy12Er3Cd | PBE-GGA | optimized geometry

Output
Energy of formation from the pure elements (meV per atom): -5
Symmetry: No. 123
Magnetization (μB per formula unit): 0.0

Unit cell a=4.946 b=4.946 c=19.987 alpha=90.00 beta=90.00 gamma=90.00
Atoms (fractional coordinates):
Er 0.000 0.000 0.248
Er 0.000 0.000 0.752
Er 0.000 0.000 0.500
Dy 0.000 0.500 0.627
Dy 0.000 0.500 0.122
Dy 0.500 0.500 0.000
Dy 0.500 0.500 0.500
Dy 0.500 0.000 0.373
Dy 0.000 0.500 0.878
Dy 0.500 0.000 0.627
Dy 0.500 0.000 0.122
Dy 0.500 0.000 0.878
Dy 0.500 0.500 0.245
Dy 0.000 0.500 0.373
Dy 0.500 0.500 0.755
Cd 0.000 0.000 0.000


Q: Which formula does entry 2 have?
A: Dy5Er12Cd2


Copy entry 1 word for word.
DyEr3Cd6 | PBE-GGA | optimized geometry

Output
Energy of formation from the pure elements (meV per atom): -282
Symmetry: No. 11
Magnetization (μB per formula unit): 0.0

Unit cell a=5.132 b=9.127 c=10.980 alpha=105.55 beta=90.00 gamma=90.00
Atoms (fractional coordinates):
Cd 0.250 0.656 0.707
Cd 0.250 0.450 0.096
Cd 0.750 0.948 0.099
Cd 0.250 0.847 0.306
Cd 0.250 0.144 0.196
Cd 0.750 0.550 0.904
Cd 0.750 0.344 0.293
Cd 0.250 0.052 0.901
Cd 0.750 0.856 0.804
Cd 0.250 0.243 0.500
Cd 0.750 0.153 0.694
Cd 0.750 0.757 0.500
Er 0.250 0.531 0.394
Er 0.250 0.351 0.795
Er 0.750 0.469 0.606
Er 0.750 0.649 0.205
Er 0.750 0.241 0.998
Er 0.250 0.759 0.002
Dy 0.750 0.056 0.392
Dy 0.250 0.944 0.608


Q: Which value of energy of formation from the pure elements does entry 3 give?
A: -227 meV per atom